Density functional theory data (PBE) for a relaxed BiBPt3 crystal.

Cell and atoms, written as POSCAR:
```
BiBPt3
1.0
5.323 0.000 0.000
0.000 5.323 0.000
2.662 2.662 6.578
Pt Bi B
6 2 2
Cartesian
2.662 3.993 4.934
3.992 5.323 1.644
2.662 2.662 2.473
1.331 5.323 1.644
2.662 6.654 4.934
5.323 5.323 4.104
5.323 2.662 5.423
5.323 2.662 1.155
2.662 5.323 3.289
0.000 0.000 0.000
```

Results
* DOS at the Fermi energy: 0.5531 states/eV per atom
* spin magnetization: 0.00 μB/f.u.
* ΔE_f: 0.37 eV/f.u.